[1]
# LiVO2F2 | the Alexandria database | PBEsol | optimized geometry
data_LiVO2F2
_space_group_name_H-M_alt 'P 1 21/c 1'
_space_group_IT_number 14
_cell_length_a 7.028
_cell_length_b 5.012
_cell_length_c 7.284
_cell_angle_alpha 90.00
_cell_angle_beta 101.72
_cell_angle_gamma 90.00
loop_
_space_group_symop_operation_xyz
'x,y,z'
'-x,-y,-z'
'-x,y+1/2,-z+1/2'
'x,-y+1/2,z+1/2'
loop_
_atom_site_label
_atom_site_type_symbol
_atom_site_fract_x
_atom_site_fract_y
_atom_site_fract_z
Li1 Li 0.173 0.241 0.331
V1 V 0.288 0.737 0.163
O1 O 0.095 0.595 0.690
O2 O 0.199 0.044 0.576
F1 F 0.320 0.607 0.432
F2 F 0.440 0.096 0.287
# Crystal system: monoclinic
# Formation energy without anion corrections: -2.536 eV/atom
# Magnetization: 0.00 μB/f.u.
# ΔE to the lowest computed polymorph: 88.4 meV/atom
# Calculated total energy: -41.17 eV/f.u.

[2]
# ScMnMo2 | the Alexandria database | PBEsol | optimized geometry
data_ScMnMo2
_space_group_name_H-M_alt 'I 4/m m m'
_space_group_IT_number 139
_space_group_name_Hall '-I 4 2'
_cell_length_a 3.703
_cell_length_b 3.703
_cell_length_c 9.049
_cell_angle_alpha 90.00
_cell_angle_beta 90.00
_cell_angle_gamma 90.00
loop_
_atom_site_label
_atom_site_type_symbol
_atom_site_fract_x
_atom_site_fract_y
_atom_site_fract_z
Sc1 Sc 0.000 0.000 0.000
Mn1 Mn 0.000 0.000 0.500
Mo1 Mo 0.000 0.500 0.250
# Crystal system: tetragonal
# Magnetization: 1.82 μB/f.u.
# ΔH_f (0 K): 0.30 eV per atom
# ΔE to the lowest computed polymorph: 158.2 meV/atom
# Calculated total energy: -38.72 eV/f.u.

[3]
# YAlHg2 | the Alexandria database | PBEsol | optimized geometry
data_YAlHg2
_space_group_name_H-M_alt 'I -4 m 2'
_space_group_IT_number 119
_space_group_name_Hall 'I -4 -2'
_cell_length_a 4.425
_cell_length_b 4.425
_cell_length_c 8.950
_cell_angle_alpha 90.00
_cell_angle_beta 90.00
_cell_angle_gamma 90.00
loop_
_atom_site_label
_atom_site_type_symbol
_atom_site_fract_x
_atom_site_fract_y
_atom_site_fract_z
Y1 Y 0.000 0.000 0.000
Al1 Al 0.000 0.500 0.250
Hg1 Hg 0.000 0.000 0.500
Hg2 Hg 0.000 0.500 0.750
# Crystal system: tetragonal
# Magnetization: 0.00 μB/f.u.
# ΔH_f (0 K): -0.28 eV per atom
# Calculated total energy: -13.16 eV/f.u.

[4]
# ReOs | the Alexandria database | PBEsol | optimized geometry
data_ReOs
_space_group_name_H-M_alt 'C 1 2/m 1'
_space_group_IT_number 12
_cell_length_a 9.919
_cell_length_b 2.743
_cell_length_c 4.759
_cell_angle_alpha 90.00
_cell_angle_beta 118.62
_cell_angle_gamma 90.00
loop_
_space_group_symop_operation_xyz
'x,y,z'
'-x,-y,-z'
'-x,y,-z'
'x,-y,z'
'x+1/2,y+1/2,z'
'-x+1/2,-y+1/2,-z'
'-x+1/2,y+1/2,-z'
'x+1/2,-y+1/2,z'
loop_
_atom_site_label
_atom_site_type_symbol
_atom_site_fract_x
_atom_site_fract_y
_atom_site_fract_z
Re1 Re 0.124 0.000 0.459
Os1 Os 0.125 0.500 0.958
# Crystal system: monoclinic
# Magnetization: 0.00 μB/f.u.
# ΔH_f (0 K): -0.08 eV per atom
# ΔE to the lowest computed polymorph: 12.3 meV/atom
# Calculated total energy: -25.71 eV/f.u.

[5]
# MgCdHg2 | the Alexandria database | PBEsol | optimized geometry
data_MgCdHg2
_space_group_name_H-M_alt 'P m m 2'
_space_group_IT_number 25
_cell_length_a 3.531
_cell_length_b 4.198
_cell_length_c 5.809
_cell_angle_alpha 90.00
_cell_angle_beta 90.00
_cell_angle_gamma 90.00
loop_
_space_group_symop_operation_xyz
'x,y,z'
'-x,-y,z'
'-x,y,z'
'x,-y,z'
loop_
_atom_site_label
_atom_site_type_symbol
_atom_site_fract_x
_atom_site_fract_y
_atom_site_fract_z
Mg1 Mg 0.000 0.000 0.000
Cd1 Cd 0.500 0.500 0.278
Hg1 Hg 0.000 0.000 0.501
Hg2 Hg 0.500 0.500 0.784
# Crystal system: orthorhombic
# Magnetization: 0.00 μB/f.u.
# ΔH_f (0 K): -0.13 eV per atom
# Calculated total energy: -4.57 eV/f.u.

[6]
# Hg3AuN | the Alexandria database | PBEsol | optimized geometry
data_Hg3AuN
_space_group_name_H-M_alt 'P m -3 m'
_space_group_IT_number 221
_space_group_name_Hall '-P 4 2 3'
_cell_length_a 5.300
_cell_length_b 5.300
_cell_length_c 5.300
_cell_angle_alpha 90.00
_cell_angle_beta 90.00
_cell_angle_gamma 90.00
loop_
_atom_site_label
_atom_site_type_symbol
_atom_site_fract_x
_atom_site_fract_y
_atom_site_fract_z
Hg1 Hg 0.000 0.000 0.500
Au1 Au 0.000 0.000 0.000
N1 N 0.500 0.500 0.500
# Crystal system: cubic
# Formation energy without anion corrections: 1.123 eV/atom
# Magnetization: 2.77 μB/f.u.
# Calculated total energy: -8.54 eV/f.u.

[7]
# YHfCu2H | the Alexandria database | PBEsol | optimized geometry
data_YHfCu2H
_space_group_name_H-M_alt 'P 4/m m m'
_space_group_IT_number 123
_space_group_name_Hall '-P 4 2'
_cell_length_a 4.547
_cell_length_b 4.547
_cell_length_c 3.667
_cell_angle_alpha 90.00
_cell_angle_beta 90.00
_cell_angle_gamma 90.00
loop_
_atom_site_label
_atom_site_type_symbol
_atom_site_fract_x
_atom_site_fract_y
_atom_site_fract_z
Y1 Y 0.000 0.000 0.000
Hf1 Hf 0.500 0.500 0.000
Cu1 Cu 0.000 0.500 0.500
H1 H 0.500 0.500 0.500
# Crystal system: tetragonal
# Magnetization: 0.00 μB/f.u.
# Calculated total energy: -29.20 eV/f.u.

[8]
# ReSb2Pb | the Alexandria database | PBEsol | optimized geometry
data_ReSb2Pb
_space_group_name_H-M_alt 'I m m m'
_space_group_IT_number 71
_space_group_name_Hall '-I 2 2'
_cell_length_a 3.257
_cell_length_b 4.709
_cell_length_c 12.404
_cell_angle_alpha 90.00
_cell_angle_beta 90.00
_cell_angle_gamma 90.00
loop_
_atom_site_label
_atom_site_type_symbol
_atom_site_fract_x
_atom_site_fract_y
_atom_site_fract_z
Re1 Re 0.000 0.000 0.000
Sb1 Sb 0.000 0.500 0.318
Pb1 Pb 0.000 0.000 0.500
# Crystal system: orthorhombic
# Formation energy without anion corrections: 0.524 eV/atom
# Magnetization: 0.00 μB/f.u.
# Calculated total energy: -24.35 eV/f.u.

[9]
# Y2CoTe2S2O14 | the Alexandria database | PBEsol | optimized geometry
data_Y2CoTe2S2O14
_space_group_name_H-M_alt 'P -1'
_space_group_IT_number 2
_cell_length_a 5.214
_cell_length_b 7.763
_cell_length_c 7.976
_cell_angle_alpha 63.04
_cell_angle_beta 73.08
_cell_angle_gamma 85.16
loop_
_space_group_symop_operation_xyz
'x,y,z'
'-x,-y,-z'
loop_
_atom_site_label
_atom_site_type_symbol
_atom_site_fract_x
_atom_site_fract_y
_atom_site_fract_z
Y1 Y 0.068 0.253 0.018
Co1 Co 0.000 0.000 0.500
Te1 Te 0.499 0.731 0.650
S1 S 0.250 0.752 0.254
O1 O 0.126 0.585 0.258
O2 O 0.140 0.767 0.440
O3 O 0.181 0.924 0.088
O4 O 0.250 0.560 0.889
O5 O 0.260 0.933 0.660
O6 O 0.271 0.190 0.248
O7 O 0.457 0.265 0.781
# Crystal system: triclinic
# Formation energy without anion corrections: -1.859 eV/atom
# Magnetization: 3.00 μB/f.u.
# Calculated total energy: -149.74 eV/f.u.

[10]
# WBr3 | the Alexandria database | PBEsol | optimized geometry
data_WBr3
_space_group_name_H-M_alt 'I m m m'
_space_group_IT_number 71
_space_group_name_Hall '-I 2 2'
_cell_length_a 3.128
_cell_length_b 4.850
_cell_length_c 12.873
_cell_angle_alpha 90.00
_cell_angle_beta 90.00
_cell_angle_gamma 90.00
loop_
_atom_site_label
_atom_site_type_symbol
_atom_site_fract_x
_atom_site_fract_y
_atom_site_fract_z
W1 W 0.000 0.000 0.000
Br1 Br 0.000 0.000 0.500
Br2 Br 0.000 0.500 0.342
# Crystal system: orthorhombic
# Formation energy without anion corrections: 0.135 eV/atom
# Magnetization: 0.00 μB/f.u.
# ΔE to the lowest computed polymorph: 238.0 meV/atom
# Calculated total energy: -18.88 eV/f.u.

[11]
# Si2IrRu | the Alexandria database | PBEsol | optimized geometry
data_Si2IrRu
_space_group_name_H-M_alt 'C 1 m 1'
_space_group_IT_number 8
_cell_length_a 8.678
_cell_length_b 2.880
_cell_length_c 4.248
_cell_angle_alpha 90.00
_cell_angle_beta 104.42
_cell_angle_gamma 90.00
loop_
_space_group_symop_operation_xyz
'x,y,z'
'x,-y,z'
'x+1/2,y+1/2,z'
'x+1/2,-y+1/2,z'
loop_
_atom_site_label
_atom_site_type_symbol
_atom_site_fract_x
_atom_site_fract_y
_atom_site_fract_z
Si1 Si 0.000 0.000 0.000
Si2 Si 0.250 0.000 0.635
Ir1 Ir 0.242 0.500 0.125
Ru1 Ru 0.013 0.500 0.526
# Crystal system: monoclinic
# Formation energy without anion corrections: -0.658 eV/atom
# Magnetization: 0.00 μB/f.u.
# Calculated total energy: -34.12 eV/f.u.

[12]
# LiZrMo2 | the Alexandria database | PBEsol | optimized geometry
data_LiZrMo2
_space_group_name_H-M_alt 'F m -3 m'
_space_group_IT_number 225
_space_group_name_Hall '-F 4 2 3'
_cell_length_a 6.349
_cell_length_b 6.349
_cell_length_c 6.349
_cell_angle_alpha 90.00
_cell_angle_beta 90.00
_cell_angle_gamma 90.00
loop_
_atom_site_label
_atom_site_type_symbol
_atom_site_fract_x
_atom_site_fract_y
_atom_site_fract_z
Li1 Li 0.000 0.000 0.000
Zr1 Zr 0.000 0.000 0.500
Mo1 Mo 0.250 0.250 0.250
# Crystal system: cubic
# Magnetization: 0.00 μB/f.u.
# ΔH_f (0 K): 0.64 eV per atom
# Calculated total energy: -32.04 eV/f.u.

- What is the magnetization in the eleventh record?
  0.00 μB/f.u.